Compound: CrCdO
Source: the Alexandria database
Functional: PBE with a Hubbard U
Structure: relaxed

The structure in CIF format:
```
data_CrCdO
_cell_length_a 5.5045
_cell_length_b 3.1594
_cell_length_c 5.9541
_cell_angle_alpha 90.00
_cell_angle_beta 107.90
_cell_angle_gamma 90.00
_space_group_name_H-M_alt 'C 1 m 1'
_space_group_IT_number 8
loop_
_space_group_symop_operation_xyz
'x,y,z'
'x,-y,z'
'x+1/2,y+1/2,z'
'x+1/2,-y+1/2,z'
loop_
_atom_site_label
_atom_site_type_symbol
_atom_site_fract_x
_atom_site_fract_y
_atom_site_fract_z
Cr1 Cr 0.0000 0.0000 0.0000
Cd1 Cd 0.4766 0.0000 0.4332
O1 O 0.1193 0.5000 0.8557
```

Computed properties:
Total magnetic moment: 7.55 μB per cell
Density of states at the Fermi level: 1.7 states/eV/cell
Relative energy among the computed polymorphs: 44 meV per atom